(1)
# Nd4MgCo SCAN single point on PBEsol structure
data_Nd4MgCo
_chemical_formula_sum 'Nd16 Mg4 Co4'
_cell_length_a 9.7058
_cell_length_b 9.7058
_cell_length_c 9.7058
_cell_angle_alpha 60.00
_cell_angle_beta 60.00
_cell_angle_gamma 60.00
_space_group_name_H-M_alt 'P 1'
_space_group_IT_number 1
loop_
_space_group_symop_operation_xyz
'x,y,z'
loop_
_atom_site_label
_atom_site_type_symbol
_atom_site_fract_x
_atom_site_fract_y
_atom_site_fract_z
Nd1 Nd 0.0334 0.6555 0.6555
Nd2 Nd 0.0609 0.0609 0.4391
Nd3 Nd 0.0609 0.4391 0.0609
Nd4 Nd 0.0609 0.4391 0.4391
Nd5 Nd 0.1873 0.1873 0.8127
Nd6 Nd 0.1873 0.8127 0.1873
Nd7 Nd 0.1873 0.8127 0.8127
Nd8 Nd 0.4391 0.0609 0.0609
Nd9 Nd 0.4391 0.0609 0.4391
Nd10 Nd 0.4391 0.4391 0.0609
Nd11 Nd 0.6555 0.0334 0.6555
Nd12 Nd 0.6555 0.6555 0.0334
Nd13 Nd 0.6555 0.6555 0.6555
Nd14 Nd 0.8127 0.1873 0.1873
Nd15 Nd 0.8127 0.1873 0.8127
Nd16 Nd 0.8127 0.8127 0.1873
Mg1 Mg 0.4209 0.4209 0.4209
Mg2 Mg 0.4209 0.4209 0.7373
Mg3 Mg 0.4209 0.7373 0.4209
Mg4 Mg 0.7373 0.4209 0.4209
Co1 Co 0.4228 0.8591 0.8591
Co2 Co 0.8591 0.4228 0.8591
Co3 Co 0.8591 0.8591 0.4228
Co4 Co 0.8591 0.8591 0.8591
# SG = F-43m, No. 216
# Energy of formation from the pure elements = -0.0620 eV per atom
# Calculated total energy = -787.91 eV for the cell shown
# Crystal system = cubic

(2)
# SrAlP SCAN single point on PBEsol structure
data_SrAlP
_chemical_formula_sum 'Sr1 Al1 P1'
_cell_length_a 3.9440
_cell_length_b 3.9440
_cell_length_c 5.4524
_cell_angle_alpha 90.00
_cell_angle_beta 90.00
_cell_angle_gamma 120.00
_space_group_name_H-M_alt 'P 1'
_space_group_IT_number 1
loop_
_space_group_symop_operation_xyz
'x,y,z'
loop_
_atom_site_label
_atom_site_type_symbol
_atom_site_fract_x
_atom_site_fract_y
_atom_site_fract_z
Sr1 Sr 0.0000 0.0000 0.0000
Al1 Al 0.3333 0.6667 0.5467
P1 P 0.6667 0.3333 0.3681
# SG = P3m1, No. 156
# Energy of formation from the pure elements = -0.7457 eV per atom
# Calculated total energy = -42.66 eV for the cell shown
# Crystal system = trigonal

(3)
# FeAgOs SCAN single point on PBEsol structure
data_FeAgOs
_chemical_formula_sum 'Fe1 Ag1 Os1'
_cell_length_a 4.3554
_cell_length_b 4.3554
_cell_length_c 2.5727
_cell_angle_alpha 90.00
_cell_angle_beta 90.00
_cell_angle_gamma 120.00
_space_group_name_H-M_alt 'P 1'
_space_group_IT_number 1
loop_
_space_group_symop_operation_xyz
'x,y,z'
loop_
_atom_site_label
_atom_site_type_symbol
_atom_site_fract_x
_atom_site_fract_y
_atom_site_fract_z
Fe1 Fe 0.0000 0.0000 0.0000
Ag1 Ag 0.6667 0.3333 0.2882
Os1 Os 0.3333 0.6667 0.7332
# SG = P3m1, No. 156
# Energy of formation from the pure elements = 0.5531 eV per atom
# Calculated total energy = -119.72 eV for the cell shown
# Crystal system = trigonal
# ΔE to the lowest computed polymorph = 133 meV per atom

(4)
# Ba4La2Cu6O13 SCAN single point on PBEsol structure
data_Ba4La2Cu6O13
_chemical_formula_sum 'Ba4 La2 Cu6 O13'
_cell_length_a 12.4343
_cell_length_b 12.4153
_cell_length_c 5.5100
_cell_angle_alpha 77.38
_cell_angle_beta 77.00
_cell_angle_gamma 25.62
_space_group_name_H-M_alt 'P 1'
_space_group_IT_number 1
loop_
_space_group_symop_operation_xyz
'x,y,z'
loop_
_atom_site_label
_atom_site_type_symbol
_atom_site_fract_x
_atom_site_fract_y
_atom_site_fract_z
Ba1 Ba 0.1489 0.6641 0.8511
Ba2 Ba 0.3359 0.8511 0.6641
Ba3 Ba 0.6641 0.1489 0.3359
Ba4 Ba 0.8511 0.3359 0.1489
La1 La 0.0000 0.5000 0.0000
La2 La 0.5000 0.0000 0.5000
Cu1 Cu 0.0769 0.5735 0.4265
Cu2 Cu 0.2390 0.7610 0.2390
Cu3 Cu 0.4265 0.9231 0.0769
Cu4 Cu 0.5735 0.0769 0.9231
Cu5 Cu 0.7610 0.2390 0.7610
Cu6 Cu 0.9231 0.4265 0.5735
O1 O 0.0000 0.0000 0.0000
O2 O 0.1824 0.1824 0.8176
O3 O 0.1838 0.1838 0.3162
O4 O 0.1947 0.6536 0.3464
O5 O 0.3162 0.3162 0.1838
O6 O 0.3155 0.3155 0.6845
O7 O 0.3464 0.8053 0.1947
O8 O 0.6536 0.1947 0.8053
O9 O 0.6845 0.6845 0.3155
O10 O 0.6838 0.6838 0.8162
O11 O 0.8053 0.3464 0.6536
O12 O 0.8162 0.8162 0.6838
O13 O 0.8176 0.8176 0.1824
# SG = Fmmm, No. 69
# ΔE_f (raw) = -2.07 eV per atom
# Calculated total energy = -468.29 eV for the cell shown
# Crystal system = orthorhombic

(5)
# ScRe2Ir SCAN single point on PBEsol structure
data_ScRe2Ir
_chemical_formula_sum 'Sc1 Re2 Ir1'
_cell_length_a 4.5311
_cell_length_b 4.5311
_cell_length_c 2.9579
_cell_angle_alpha 90.00
_cell_angle_beta 90.00
_cell_angle_gamma 90.00
_space_group_name_H-M_alt 'P 1'
_space_group_IT_number 1
loop_
_space_group_symop_operation_xyz
'x,y,z'
loop_
_atom_site_label
_atom_site_type_symbol
_atom_site_fract_x
_atom_site_fract_y
_atom_site_fract_z
Sc1 Sc 0.0000 0.0000 0.0000
Re1 Re 0.0000 0.5000 0.5000
Re2 Re 0.5000 0.0000 0.5000
Ir1 Ir 0.5000 0.5000 0.0000
# SG = P4/mmm, No. 123
# Energy of formation from the pure elements = 0.0876 eV per atom
# Calculated total energy = -227.18 eV for the cell shown
# Crystal system = tetragonal
# ΔE to the lowest computed polymorph = 325 meV per atom

(6)
# Sb2TeRuS SCAN single point on PBEsol structure
data_Sb2TeRuS
_chemical_formula_sum 'Sb2 Te1 Ru1 S1'
_cell_length_a 4.9266
_cell_length_b 4.9266
_cell_length_c 5.0496
_cell_angle_alpha 90.00
_cell_angle_beta 90.00
_cell_angle_gamma 90.00
_space_group_name_H-M_alt 'P 1'
_space_group_IT_number 1
loop_
_space_group_symop_operation_xyz
'x,y,z'
loop_
_atom_site_label
_atom_site_type_symbol
_atom_site_fract_x
_atom_site_fract_y
_atom_site_fract_z
Sb1 Sb 0.0000 0.5000 0.0000
Sb2 Sb 0.5000 0.0000 0.0000
Te1 Te 0.0000 0.0000 0.5000
Ru1 Ru 0.5000 0.5000 0.5000
S1 S 0.0000 0.0000 0.0000
# SG = P4/mmm, No. 123
# ΔE_f (raw) = 1.23 eV per atom
# Calculated total energy = -150.10 eV for the cell shown
# Crystal system = tetragonal

(7)
# CrHgIr2 SCAN single point on PBEsol structure
data_CrHgIr2
_chemical_formula_sum 'Cr1 Hg1 Ir2'
_cell_length_a 4.8372
_cell_length_b 4.8372
_cell_length_c 4.8372
_cell_angle_alpha 132.84
_cell_angle_beta 132.84
_cell_angle_gamma 68.91
_space_group_name_H-M_alt 'P 1'
_space_group_IT_number 1
loop_
_space_group_symop_operation_xyz
'x,y,z'
loop_
_atom_site_label
_atom_site_type_symbol
_atom_site_fract_x
_atom_site_fract_y
_atom_site_fract_z
Cr1 Cr 0.0000 0.0000 0.0000
Hg1 Hg 0.7500 0.2500 0.5000
Ir1 Ir 0.2500 0.7500 0.5000
Ir2 Ir 0.5000 0.5000 0.0000
# SG = I-4m2, No. 119
# Energy of formation from the pure elements = 0.2682 eV per atom
# Calculated total energy = -227.68 eV for the cell shown
# Crystal system = tetragonal

(8)
# Al2InCl SCAN single point on PBEsol structure
data_Al2InCl
_chemical_formula_sum 'Al2 In1 Cl1'
_cell_length_a 3.0222
_cell_length_b 3.0222
_cell_length_c 9.1584
_cell_angle_alpha 90.00
_cell_angle_beta 90.00
_cell_angle_gamma 90.00
_space_group_name_H-M_alt 'P 1'
_space_group_IT_number 1
loop_
_space_group_symop_operation_xyz
'x,y,z'
loop_
_atom_site_label
_atom_site_type_symbol
_atom_site_fract_x
_atom_site_fract_y
_atom_site_fract_z
Al1 Al 0.0000 0.0000 0.0000
Al2 Al 0.5000 0.5000 0.2079
In1 In 0.5000 0.5000 0.7441
Cl1 Cl 0.0000 0.0000 0.3851
# SG = P4mm, No. 99
# ΔE_f (raw) = -0.12 eV per atom
# Calculated total energy = -57.36 eV for the cell shown
# Crystal system = tetragonal
# ΔE to the lowest computed polymorph = 0 meV per atom

(9)
# HRh3Cl SCAN single point on PBEsol structure
data_HRh3Cl
_chemical_formula_sum 'H1 Rh3 Cl1'
_cell_length_a 3.9033
_cell_length_b 3.9033
_cell_length_c 3.9033
_cell_angle_alpha 90.00
_cell_angle_beta 90.00
_cell_angle_gamma 90.00
_space_group_name_H-M_alt 'P 1'
_space_group_IT_number 1
loop_
_space_group_symop_operation_xyz
'x,y,z'
loop_
_atom_site_label
_atom_site_type_symbol
_atom_site_fract_x
_atom_site_fract_y
_atom_site_fract_z
H1 H 0.0000 0.0000 0.0000
Rh1 Rh 0.0000 0.0000 0.5000
Rh2 Rh 0.0000 0.5000 0.0000
Rh3 Rh 0.5000 0.0000 0.0000
Cl1 Cl 0.5000 0.5000 0.5000
# SG = Pm-3m, No. 221
# Calculated total energy = -109.56 eV for the cell shown
# Crystal system = cubic

(10)
# RbNi2Br SCAN single point on PBEsol structure
data_RbNi2Br
_chemical_formula_sum 'Rb1 Ni2 Br1'
_cell_length_a 4.6524
_cell_length_b 4.6524
_cell_length_c 4.6524
_cell_angle_alpha 60.00
_cell_angle_beta 60.00
_cell_angle_gamma 60.00
_space_group_name_H-M_alt 'P 1'
_space_group_IT_number 1
loop_
_space_group_symop_operation_xyz
'x,y,z'
loop_
_atom_site_label
_atom_site_type_symbol
_atom_site_fract_x
_atom_site_fract_y
_atom_site_fract_z
Rb1 Rb 0.0000 0.0000 0.0000
Ni1 Ni 0.2500 0.2500 0.2500
Ni2 Ni 0.7500 0.7500 0.7500
Br1 Br 0.5000 0.5000 0.5000
# SG = Fm-3m, No. 225
# ΔE_f (raw) = 1.11 eV per atom
# Calculated total energy = -68.10 eV for the cell shown
# Crystal system = cubic